1.
This record from Alexandria describes a relaxed structure of Tb12DyHo7. The functional is GGA-PBE.

Structure (POSCAR):
```
Tb12DyHo7
1.0
6.397 0.000 1.851
-3.616 9.248 4.512
-0.836 0.000 10.874
Tb Ho Dy
12 7 1
Direct
0.717 0.788 0.789
0.270 0.523 0.936
0.206 0.936 0.541
0.494 0.211 0.576
0.071 0.576 0.212
0.929 0.424 0.788
0.747 0.541 0.523
0.283 0.212 0.211
0.794 0.064 0.459
0.253 0.459 0.477
0.730 0.477 0.064
0.506 0.789 0.424
0.377 0.304 0.837
0.073 0.860 0.304
0.786 0.163 0.140
0.927 0.140 0.696
0.500 0.000 0.000
0.623 0.696 0.163
0.214 0.837 0.860
0.000 0.000 0.000
```

Summary:
calculated volume = 657.6 Å³ per cell
mass density = 8.142 g/cm³
energy above the lowest structure with this stoichiometry = 29 meV/atom

2.
This record from Alexandria describes a relaxed structure of Tb2Dy5Ho12. The functional is GGA-PBE.

Structure (POSCAR):
```
Tb2Dy5Ho12
1.0
9.190 0.000 0.000
-4.595 7.632 1.084
0.000 -1.511 8.386
Ho Dy Tb
12 5 2
Direct
0.438 0.260 0.668
0.822 0.260 0.668
0.329 0.299 0.240
0.671 0.701 0.760
0.030 0.701 0.760
0.970 0.299 0.240
0.557 0.114 0.336
0.075 0.150 0.874
0.443 0.886 0.664
0.562 0.740 0.332
0.925 0.850 0.126
0.178 0.740 0.332
0.294 0.589 0.979
0.000 0.000 0.500
0.769 0.539 0.428
0.706 0.411 0.021
0.231 0.461 0.572
0.673 0.000 0.000
0.327 0.000 0.000
```

Summary:
calculated volume = 603.2 Å³ per cell
mass density = 8.560 g/cm³
energy above the lowest structure with this stoichiometry = 65 meV/atom

3.
This record from Alexandria describes a relaxed structure of Tb4Dy5Ho4. The functional is GGA-PBE.

Structure (POSCAR):
```
Tb4Dy5Ho4
1.0
-3.827 0.159 -3.193
-7.557 -2.207 5.055
-3.166 8.798 0.337
Tb Dy Ho
4 5 4
Direct
0.231 0.615 0.923
0.769 0.385 0.077
0.846 0.923 0.385
0.154 0.077 0.615
0.693 0.846 0.769
0.462 0.231 0.846
0.307 0.154 0.231
0.538 0.769 0.154
0.000 0.000 0.000
0.385 0.692 0.538
0.923 0.462 0.692
0.615 0.308 0.462
0.077 0.538 0.308
```

Summary:
calculated volume = 405.5 Å³ per cell
mass density = 8.632 g/cm³

4.
This record from Alexandria describes a relaxed structure of Tb3Dy4Ho. The functional is GGA-PBE.

Structure (POSCAR):
```
Tb3Dy4Ho
1.0
5.505 0.000 -1.097
-0.064 3.527 -0.320
-0.224 1.199 13.231
Ho Dy Tb
1 4 3
Direct
0.500 0.000 0.000
0.277 0.499 0.554
0.397 0.500 0.793
0.723 0.501 0.446
0.603 0.500 0.207
0.000 0.500 0.000
0.154 0.000 0.308
0.846 0.000 0.692
```

Summary:
calculated volume = 258.2 Å³ per cell
mass density = 8.306 g/cm³
energy above the lowest structure with this stoichiometry = 184 meV/atom

5.
This record from Alexandria describes a relaxed structure of Tb5Dy5Ho. The functional is GGA-PBE.

Structure (POSCAR):
```
Tb5Dy5Ho
1.0
-3.012 -0.080 -5.247
-2.990 -0.685 5.215
-1.448 11.336 0.659
Tb Dy Ho
5 5 1
Direct
0.337 0.168 0.500
0.832 0.663 0.500
0.000 0.000 0.264
0.000 0.000 0.736
0.832 0.168 0.500
0.333 0.667 0.681
0.333 0.667 0.319
0.667 0.333 0.843
0.667 0.333 0.157
0.000 0.000 0.000
0.333 0.667 0.000
```

Summary:
calculated volume = 362.9 Å³ per cell
mass density = 8.108 g/cm³
energy above the lowest structure with this stoichiometry = 187 meV/atom

6.
This record from Alexandria describes a relaxed structure of Tb11Dy9Ho4. The functional is GGA-PBE.

Structure (POSCAR):
```
Tb11Dy9Ho4
1.0
-1.197 -0.010 -3.438
14.030 2.532 -4.891
-3.260 -14.669 1.176
Tb Dy Ho
11 9 4
Direct
0.000 0.292 0.292
0.000 0.407 0.045
0.000 0.367 0.633
0.000 0.840 0.160
0.000 0.708 0.708
0.000 0.593 0.955
0.000 0.955 0.593
0.000 0.633 0.367
0.000 0.000 0.000
0.000 0.160 0.840
0.000 0.045 0.407
0.500 0.368 0.836
0.500 0.932 0.786
0.500 0.836 0.368
0.500 0.786 0.932
0.500 0.632 0.164
0.500 0.068 0.214
0.500 0.214 0.068
0.500 0.164 0.632
0.500 0.500 0.500
0.500 0.554 0.756
0.500 0.244 0.446
0.500 0.756 0.554
0.500 0.446 0.244
```

Summary:
calculated volume = 761.6 Å³ per cell
mass density = 8.439 g/cm³

7.
This record from Alexandria describes a relaxed structure of Tb4Dy2Ho7. The functional is GGA-PBE.

Structure (POSCAR):
```
Tb4Dy2Ho7
1.0
-1.281 -5.989 4.970
7.286 -2.256 5.400
-2.116 4.467 3.584
Ho Tb Dy
7 4 2
Direct
0.770 0.539 0.384
0.538 0.077 0.769
0.462 0.923 0.231
0.846 0.692 0.923
0.154 0.308 0.077
0.230 0.461 0.616
0.000 0.000 0.000
0.615 0.231 0.308
0.385 0.769 0.692
0.923 0.846 0.462
0.077 0.154 0.538
0.308 0.615 0.154
0.692 0.385 0.846
```

Summary:
calculated volume = 404.1 Å³ per cell
mass density = 8.691 g/cm³

8.
This record from Alexandria describes a relaxed structure of TbDy12Ho7. The functional is GGA-PBE.

Structure (POSCAR):
```
TbDy12Ho7
1.0
8.527 0.750 1.125
-1.651 8.400 1.125
-1.651 -2.197 8.185
Ho Dy Tb
7 12 1
Direct
0.020 0.083 0.352
0.352 0.020 0.083
0.083 0.352 0.020
0.917 0.648 0.980
0.980 0.917 0.648
0.500 0.500 0.500
0.648 0.980 0.917
0.584 0.522 0.853
0.750 0.314 0.186
0.314 0.186 0.750
0.478 0.147 0.416
0.686 0.814 0.250
0.147 0.416 0.478
0.416 0.478 0.147
0.186 0.750 0.314
0.250 0.686 0.814
0.853 0.584 0.522
0.522 0.853 0.584
0.814 0.250 0.686
0.000 0.000 0.000
```

Summary:
calculated volume = 635.8 Å³ per cell
mass density = 8.524 g/cm³
energy above the lowest structure with this stoichiometry = 0 meV/atom

9.
This record from Alexandria describes a relaxed structure of Tb2Dy3Ho9. The functional is GGA-PBE.

Structure (POSCAR):
```
Tb2Dy3Ho9
1.0
-1.956 -2.843 5.366
9.001 -7.308 5.118
5.387 -1.625 10.045
Dy Ho Tb
3 9 2
Direct
0.830 0.243 0.081
0.017 0.986 0.011
0.169 0.749 0.913
0.155 0.190 0.520
0.687 0.036 0.587
0.029 0.544 0.417
0.367 0.598 0.580
0.595 0.389 0.451
0.297 0.948 0.429
0.839 0.798 0.491
0.703 0.597 0.979
0.261 0.397 0.049
0.493 0.189 0.919
0.560 0.838 0.071
```

Summary:
calculated volume = 438.8 Å³ per cell
mass density = 8.665 g/cm³

10.
This record from Alexandria describes a relaxed structure of Tb12Dy3Ho. The functional is GGA-PBE.

Structure (POSCAR):
```
Tb12Dy3Ho
1.0
-1.760 4.324 1.842
-2.467 0.825 -4.292
-15.986 -9.633 7.336
Tb Dy Ho
12 3 1
Direct
0.500 0.500 0.250
0.000 0.500 0.875
0.500 0.000 0.625
0.000 0.500 0.375
0.500 0.500 0.500
0.500 0.500 0.750
0.500 0.000 0.875
0.000 0.500 0.125
0.500 0.000 0.125
0.500 0.500 0.000
0.000 0.500 0.625
0.500 0.000 0.375
0.000 0.000 0.250
0.000 0.000 0.750
0.000 0.000 0.500
0.000 0.000 0.000
```

Summary:
calculated volume = 505.1 Å³ per cell
mass density = 8.414 g/cm³

11.
This record from Alexandria describes a relaxed structure of Tb3Dy9Ho2. The functional is GGA-PBE.

Structure (POSCAR):
```
Tb3Dy9Ho2
1.0
-4.531 -1.130 4.113
-8.860 -4.960 -2.321
-6.130 -12.031 2.083
Dy Ho Tb
9 2 3
Direct
0.962 0.506 0.502
0.394 0.992 0.706
0.007 0.851 0.484
0.804 0.494 0.902
0.180 0.507 0.098
0.308 0.161 0.064
0.986 0.174 0.496
0.602 0.016 0.295
0.760 0.867 0.898
0.357 0.341 0.703
0.571 0.661 0.301
0.101 0.891 0.073
0.592 0.369 0.268
0.375 0.671 0.712
```

Summary:
calculated volume = 449.8 Å³ per cell
mass density = 8.378 g/cm³

12.
This record from Alexandria describes a relaxed structure of TbDy3Ho. The functional is GGA-PBE.

Structure (POSCAR):
```
TbDy3Ho
1.0
-2.437 2.034 -1.685
-3.285 -7.730 -0.756
-5.670 1.437 9.932
Tb Dy Ho
2 6 2
Direct
0.684 0.868 0.750
0.316 0.132 0.250
0.848 0.197 0.500
0.152 0.803 0.000
0.848 0.197 0.000
0.345 0.191 0.750
0.152 0.803 0.500
0.655 0.809 0.250
0.013 0.525 0.750
0.987 0.475 0.250
```

Summary:
calculated volume = 341.3 Å³ per cell
mass density = 7.895 g/cm³
energy above the lowest structure with this stoichiometry = 272 meV/atom

13.
This record from Alexandria describes a relaxed structure of Tb5Dy6Ho. The functional is GGA-PBE.

Structure (POSCAR):
```
Tb5Dy6Ho
1.0
9.825 -0.530 -1.835
-5.629 8.070 -1.835
-0.773 -1.389 5.659
Dy Tb Ho
6 5 1
Direct
0.583 0.917 0.750
0.417 0.083 0.250
0.750 0.750 0.250
0.083 0.417 0.250
0.250 0.250 0.750
0.917 0.583 0.750
0.500 0.500 0.500
0.166 0.834 0.500
0.666 0.334 0.000
0.334 0.666 0.000
0.834 0.166 0.500
0.000 0.000 0.000
```

Summary:
calculated volume = 380.2 Å³ per cell
mass density = 8.449 g/cm³
energy above the lowest structure with this stoichiometry = 114 meV/atom

14.
This record from Alexandria describes a relaxed structure of Tb2Dy2Ho5. The functional is GGA-PBE.

Structure (POSCAR):
```
Tb2Dy2Ho5
1.0
11.635 0.000 0.000
0.000 6.674 0.000
-5.817 -3.337 7.393
Ho Tb Dy
10 4 4
Direct
0.201 0.656 0.896
0.998 0.653 0.500
0.799 0.761 0.104
0.595 0.246 0.714
0.381 0.032 0.286
0.002 0.153 0.500
0.194 0.156 0.896
0.806 0.261 0.104
0.405 0.532 0.286
0.619 0.746 0.714
0.369 0.931 0.746
0.631 0.185 0.254
0.123 0.685 0.254
0.877 0.431 0.746
0.737 0.859 0.500
0.000 0.014 0.000
0.500 0.514 0.000
0.263 0.359 0.500
```

Summary:
calculated volume = 574.0 Å³ per cell
mass density = 8.490 g/cm³
energy above the lowest structure with this stoichiometry = 208 meV/atom

15.
This record from Alexandria describes a relaxed structure of Tb5Dy4Ho3. The functional is GGA-PBE.

Structure (POSCAR):
```
Tb5Dy4Ho3
1.0
6.831 -0.429 1.798
-5.144 7.461 -6.553
4.066 -3.917 11.432
Tb Ho Dy
5 3 4
Direct
0.500 0.000 0.500
0.750 0.500 0.000
0.250 0.500 0.000
0.334 0.667 0.833
0.666 0.333 0.167
0.584 0.167 0.333
0.000 0.000 0.500
0.416 0.833 0.667
0.916 0.833 0.666
0.084 0.167 0.334
0.834 0.667 0.834
0.166 0.333 0.166
```

Summary:
calculated volume = 375.2 Å³ per cell
mass density = 8.584 g/cm³
energy above the lowest structure with this stoichiometry = 0 meV/atom

16.
This record from Alexandria describes a relaxed structure of Tb4Dy19Ho6. The functional is GGA-PBE.

Structure (POSCAR):
```
Tb4Dy19Ho6
1.0
-6.761 -6.952 4.580
5.396 -4.911 -7.860
6.911 3.636 7.351
Ho Dy Tb
6 19 4
Direct
0.126 0.626 0.500
0.374 0.500 0.874
0.874 0.374 0.500
0.626 0.500 0.126
0.500 0.126 0.626
0.500 0.874 0.374
0.541 0.200 0.216
0.216 0.541 0.200
0.341 0.016 0.800
0.800 0.341 0.016
0.739 0.739 0.000
0.739 0.000 0.739
0.000 0.000 0.000
0.261 0.261 0.000
0.261 0.000 0.261
0.984 0.325 0.784
0.459 0.675 0.659
0.784 0.984 0.325
0.000 0.261 0.261
0.200 0.216 0.541
0.016 0.800 0.341
0.659 0.459 0.675
0.325 0.784 0.984
0.000 0.739 0.739
0.675 0.659 0.459
0.642 0.000 0.000
0.358 0.358 0.358
0.000 0.642 0.000
0.000 0.000 0.642
```

Summary:
calculated volume = 949.6 Å³ per cell
mass density = 8.241 g/cm³

17.
This record from Alexandria describes a relaxed structure of Tb3Dy6Ho. The functional is GGA-PBE.

Structure (POSCAR):
```
Tb3Dy6Ho
1.0
-2.843 -5.330 -1.293
8.502 -5.519 4.057
-8.265 2.819 6.553
Dy Tb Ho
12 6 2
Direct
0.863 0.956 0.536
0.038 0.711 0.619
0.863 0.464 0.044
0.363 0.044 0.464
0.538 0.289 0.381
0.363 0.536 0.956
0.914 0.046 0.954
0.538 0.619 0.711
0.038 0.381 0.289
0.414 0.954 0.046
0.143 0.719 0.281
0.643 0.281 0.719
0.070 0.390 0.610
0.458 0.280 0.060
0.958 0.060 0.280
0.458 0.940 0.720
0.570 0.610 0.390
0.958 0.720 0.940
0.140 0.205 0.795
0.640 0.795 0.205
```

Summary:
calculated volume = 639.0 Å³ per cell
mass density = 8.402 g/cm³
energy above the lowest structure with this stoichiometry = 26 meV/atom

| no. | total magnetic moment (Bohr magnetons per cell) | energy of formation (kJ/mol of formula units) |
| --- | --- | --- |
| 1 | 0.00 | 623 |
| 2 | 0.00 | 236 |
| 3 | 0.00 | 20 |
| 4 | 0.00 | 149 |
| 5 | 0.00 | 353 |
| 6 | 0.00 | 119 |
| 7 | 0.00 | 23 |
| 8 | 0.00 | 578 |
| 9 | 0.00 | 114 |
| 10 | 0.00 | 26 |
| 11 | 0.00 | 147 |
| 12 | 0.00 | 156 |
| 13 | 0.00 | 150 |
| 14 | 0.00 | 196 |
| 15 | 0.00 | 19 |
| 16 | 0.00 | 1091 |
| 17 | 0.00 | 143 |